Entry 1:
Compound: La12Si5Pb
Source: Alexandria
Functional: PBE
Structure: relaxed

Cell: 8.9444 8.9444 8.9444 Å, 105.06 112.92 110.52°
Last column: nearest neighbours and their distance in Å.
Fractional coordinates of all 18 atoms:
La 0.5503 0.8178 0.7325  4 Si 3.19-3.33
La 0.4497 0.1822 0.2675  4 Si 3.19-3.33
La 0.9147 0.1822 0.7325  4 Si 3.19-3.33
La 0.0853 0.8178 0.2675  4 Si 3.19-3.33
La 0.7064 0.6822 0.3886  3 Si 3.05-3.09
La 0.2936 0.3178 0.6114  3 Si 3.05-3.09
La 0.2936 0.6822 0.9757  3 Si 3.05-3.09
La 0.7064 0.3178 0.0243  3 Si 3.05-3.09
La 0.8000 0.5728 0.7728  2 Si 3.08-3.20
La 0.2000 0.4272 0.2272  2 Si 3.08-3.20
La 0.2000 0.9729 0.7728  2 Si 3.08-3.20
La 0.8000 0.0271 0.2272  2 Si 3.08-3.20
Si 0.6195 0.6195 0.0000  1 Si 2.44
Si 0.3805 0.3805 0.0000  1 Si 2.44
Si 0.5000 0.1100 0.6100  1 Si 2.39
Si 0.5000 0.8900 0.3900  1 Si 2.39
Si 0.0000 0.0000 0.0000  8 La 3.20-3.23
Pb 0.0000 0.5000 0.5000  8 La 3.51-3.60

Properties
The value obtained for the raw formation energy is -9.47 eV per formula unit. The magnetic moment comes out at 0.00 μB per atom.

Entry 2:
Compound: LaSi4Pb
Source: Alexandria
Functional: PBE
Structure: relaxed

Cell: 5.5625 5.5625 5.5625 Å, 60.00 60.00 60.00°
Last column: nearest neighbours and their distance in Å.
Fractional coordinates of all 6 atoms:
La 0.7500 0.7500 0.7500  12 Si 3.29, 4 Pb 3.41
Si 0.9028 0.3657 0.3657  3 Si 2.58
Si 0.3657 0.3657 0.9028  3 Si 2.58
Si 0.3657 0.9028 0.3657  3 Si 2.58
Si 0.3657 0.3657 0.3657  3 Si 2.58
Pb 0.0000 0.0000 0.0000  12 Si 3.24, 4 La 3.41

Properties
The value obtained for the raw formation energy is -0.05 eV per formula unit. The magnetic moment comes out at 0.00 μB per atom.

Entry 3:
Compound: La6Si2Te3Pb
Source: Alexandria
Functional: PBE
Structure: relaxed

Cell: 4.5137 9.2041 10.2120 Å, 103.51 102.77 90.00°
Last column: nearest neighbours and their distance in Å.
Fractional coordinates of all 12 atoms:
La 0.3320 0.8952 0.6640  2 Si 3.10, 1 Pb 3.25, 3 Te 3.25-3.36
La 0.6732 0.5686 0.3465  3 Si 3.07-3.10, 3 Te 3.35-3.36
La 0.6680 0.1048 0.3360  2 Si 3.10, 1 Pb 3.25, 3 Te 3.25-3.36
La 0.0085 0.2537 0.0171  1 Si 3.08, 2 Pb 3.22, 3 Te 3.23-3.34
La 0.9915 0.7463 0.9829  1 Si 3.08, 2 Pb 3.22, 3 Te 3.23-3.34
La 0.3268 0.4314 0.6535  3 Si 3.07-3.10, 3 Te 3.35-3.36
Si 0.8321 0.6644 0.6641  6 La 3.07-3.10
Si 0.1679 0.3356 0.3359  6 La 3.07-3.10
Te 0.5000 0.5000 0.0000  6 La 3.23-3.36
Te 0.8359 0.1678 0.6718  6 La 3.25-3.36
Te 0.1641 0.8322 0.3282  6 La 3.25-3.36
Pb 0.5000 0.0000 0.0000  6 La 3.22-3.25

Properties
The value obtained for the raw formation energy is -13.76 eV per formula unit. The magnetic moment comes out at 0.00 μB per atom.

Entry 4:
Compound: La4SiTe2Pb
Source: Alexandria
Functional: PBE
Structure: relaxed

Cell: 4.5502 7.9648 7.9514 Å, 70.83 90.00 90.00°
Last column: nearest neighbours and their distance in Å.
Fractional coordinates of all 8 atoms:
La 0.0000 0.7373 0.7429  1 Si 3.11, 2 Pb 3.22, 3 Te 3.26-3.37
La 0.0000 0.2627 0.2571  1 Si 3.11, 2 Pb 3.22, 3 Te 3.26-3.37
La 0.5000 0.7286 0.2674  2 Si 3.11, 1 Pb 3.22, 3 Te 3.27-3.37
La 0.5000 0.2714 0.7326  2 Si 3.11, 1 Pb 3.22, 3 Te 3.27-3.37
Si 0.0000 0.5000 0.5000  6 La 3.11
Te 0.0000 0.0000 0.0000  6 La 3.37
Te 0.5000 0.0000 0.5000  6 La 3.26-3.27
Pb 0.5000 0.5000 0.0000  6 La 3.22

Properties
The value obtained for the raw formation energy is -9.06 eV per formula unit. The magnetic moment comes out at 0.00 μB per atom.

Entry 5:
Compound: LaVSiPb2
Source: Alexandria
Functional: PBE
Structure: relaxed

Cell: 5.2600 5.2600 5.2455 Å, 90.00 90.00 90.00°
Last column: nearest neighbours and their distance in Å.
Fractional coordinates of all 5 atoms:
Pb 0.0000 0.5000 0.0000  2 V 2.63
Pb 0.5000 0.0000 0.0000  2 V 2.63
Si 0.5000 0.5000 0.5000  8 Pb 3.71, 4 La 3.72
V 0.0000 0.0000 0.0000  2 La 2.62, 4 Pb 2.63
La 0.0000 0.0000 0.5000  2 V 2.62

Properties
The value obtained for the raw formation energy is 2.40 eV per formula unit. The magnetic moment comes out at 0.40 μB per atom.

Entry 6:
Compound: LaZn2SiPb
Source: Alexandria
Functional: PBE
Structure: relaxed

Cell: 5.5766 5.4584 5.5766 Å, 90.00 90.00 90.00°
Last column: nearest neighbours and their distance in Å.
Fractional coordinates of all 5 atoms:
Pb 0.5000 0.5000 0.5000  8 Zn 3.90, 4 Si 3.94
Zn 0.0000 0.0000 0.5000  2 La 2.79
Zn 0.5000 0.0000 0.0000  2 La 2.79
Si 0.0000 0.5000 0.0000  2 La 2.73
La 0.0000 0.0000 0.0000  2 Si 2.73, 4 Zn 2.79

Properties
The value obtained for the raw formation energy is 4.10 eV per formula unit. The magnetic moment comes out at 0.00 μB per atom.

Entry 7:
Compound: LaSm3Pb2
Source: Alexandria
Functional: PBE
Structure: relaxed

Cell: 4.6594 4.6594 8.9266 Å, 90.00 90.00 90.00°
Last column: nearest neighbours and their distance in Å.
Fractional coordinates of all 6 atoms:
La 0.5000 0.5000 0.0000  4 Sm 3.29, 4 Pb 3.46
Sm 0.5000 0.0000 0.3491  5 Pb 3.25-3.34
Sm 0.0000 0.5000 0.6509  5 Pb 3.25-3.34
Sm 0.0000 0.0000 0.0000  4 La 3.29, 4 Pb 3.46
Pb 0.5000 0.0000 0.7128  7 Sm 3.25-3.46, 2 La 3.46
Pb 0.0000 0.5000 0.2872  7 Sm 3.25-3.46, 2 La 3.46

Properties
The energy relative to the lowest polymorph listed for this composition is 0 meV per atom. For the formation enthalpy at 0 K, the calculation gives -2.589 eV/f.u. The magnetic moment comes out at 0.00 μB per atom.

Entry 8:
Compound: LaSm2Pb
Source: Alexandria
Functional: PBE
Structure: relaxed

Cell: 3.6760 3.6760 11.5629 Å, 80.85 80.85 60.00°
Last column: nearest neighbours and their distance in Å.
Fractional coordinates of all 4 atoms:
La 0.4999 0.4999 0.5004  6 La 3.68, 6 Sm 3.68-3.70
Sm 0.0783 0.0783 0.7651  3 Pb 3.42, 6 Sm 3.68, 3 La 3.68
Sm 0.2554 0.2554 0.2339  3 Pb 3.40, 6 Sm 3.68, 3 La 3.70
Pb 0.6665 0.6665 0.0005  6 Sm 3.40-3.42, 6 Pb 3.68

Properties
The energy relative to the lowest polymorph listed for this composition is 193 meV per atom. For the formation enthalpy at 0 K, the calculation gives -0.582 eV/f.u. The magnetic moment comes out at 0.00 μB per atom.

no.,theoretical density (g/cm³),uncorrected energy (hartree per atom)
1,6.10,-0.203
2,6.26,-0.186
3,6.12,-0.206
4,6.38,-0.203
5,7.23,-0.180
6,4.94,-0.092
7,8.61,-0.178
8,8.07,-0.171